A plane-wave DFT calculation with GGA-PBEsol was carried out for Sm3Si2S8Br after structural relaxation.

Cell: 8.564 8.564 10.707 Å, 97.30 97.30 52.37°
Atoms (fractional coordinates):
Sm (0.116, 0.884, 0.750)
Sm (0.179, 0.425, 0.317)
Sm (0.425, 0.179, 0.817)
Sm (0.575, 0.821, 0.183)
Sm (0.821, 0.575, 0.683)
Sm (0.884, 0.116, 0.250)
Si (0.124, 0.194, 0.027)
Si (0.194, 0.124, 0.527)
Si (0.806, 0.876, 0.473)
Si (0.876, 0.806, 0.973)
S (0.049, 0.244, 0.833)
S (0.099, 0.773, 0.457)
S (0.109, 0.601, 0.855)
S (0.214, 0.358, 0.586)
S (0.227, 0.901, 0.043)
S (0.244, 0.049, 0.333)
S (0.358, 0.214, 0.086)
S (0.399, 0.891, 0.645)
S (0.601, 0.109, 0.355)
S (0.642, 0.786, 0.914)
S (0.756, 0.951, 0.667)
S (0.773, 0.099, 0.957)
S (0.786, 0.642, 0.414)
S (0.891, 0.399, 0.145)
S (0.901, 0.227, 0.543)
S (0.951, 0.756, 0.167)
Br (0.492, 0.508, 0.250)
Br (0.508, 0.492, 0.750)

Output
* space group: No. 15
* D(E_F): 0.000 states/eV per atom

---

A plane-wave DFT calculation with GGA-PBEsol was carried out for Si2TcSBr after structural relaxation.

Cell: 4.864 4.864 4.371 Å, 90.00 90.00 90.00°
Atoms (fractional coordinates):
Si (0.000, 0.500, 0.000)
Si (0.500, 0.000, 0.000)
Tc (0.000, 0.000, 0.500)
S (0.000, 0.000, 0.000)
Br (0.500, 0.500, 0.500)

Output
* space group: No. 123
* D(E_F): 0.763 states/eV per atom

---

A plane-wave DFT calculation with GGA-PBEsol was carried out for Tl2SnSBr after structural relaxation.

Cell: 5.820 5.820 4.753 Å, 90.00 90.00 90.00°
Atoms (fractional coordinates):
Tl (0.000, 0.500, 0.000)
Tl (0.500, 0.000, 0.000)
Sn (0.000, 0.000, 0.500)
S (0.500, 0.500, 0.500)
Br (0.500, 0.500, 0.000)

Output
* space group: No. 123
* D(E_F): 0.554 states/eV per atom

---

A plane-wave DFT calculation with GGA-PBEsol was carried out for Ta3SBr7 after structural relaxation.

Cell: 7.035 7.035 8.816 Å, 126.32 126.32 59.96°
Atoms (fractional coordinates):
Ta (0.000, 0.000, 0.000)
Ta (0.000, 0.595, 0.999)
Ta (0.595, 0.000, 0.999)
S (0.998, 0.998, 0.270)
Br (0.073, 0.566, 0.737)
Br (0.093, 0.093, 0.787)
Br (0.476, 0.476, 0.219)
Br (0.476, 0.968, 0.219)
Br (0.565, 0.565, 0.735)
Br (0.566, 0.073, 0.737)
Br (0.968, 0.476, 0.219)

Output
* space group: No. 8

---

A plane-wave DFT calculation with GGA-PBEsol was carried out for TbSBr after structural relaxation.

Cell: 6.701 6.827 6.737 Å, 90.00 99.67 90.00°
Atoms (fractional coordinates):
Tb (0.178, 0.039, 0.291)
Tb (0.178, 0.461, 0.791)
Tb (0.822, 0.539, 0.209)
Tb (0.822, 0.961, 0.709)
S (0.060, 0.739, 0.509)
S (0.060, 0.761, 0.009)
S (0.940, 0.239, 0.991)
S (0.940, 0.261, 0.491)
Br (0.419, 0.125, 0.701)
Br (0.419, 0.375, 0.201)
Br (0.581, 0.625, 0.799)
Br (0.581, 0.875, 0.299)

Output
* space group: No. 14
* D(E_F): 0.000 states/eV per atom

---

A plane-wave DFT calculation with GGA-PBEsol was carried out for TeS3Br after structural relaxation.

Cell: 5.009 5.009 5.009 Å, 90.00 90.00 90.00°
Atoms (fractional coordinates):
Te (0.000, 0.000, 0.000)
S (0.000, 0.000, 0.500)
S (0.000, 0.500, 0.000)
S (0.500, 0.000, 0.000)
Br (0.500, 0.500, 0.500)

Output
* space group: No. 221
* ΔE to the lowest computed polymorph: 0 meV/atom
* D(E_F): 1.632 states/eV per atom

---

A plane-wave DFT calculation with GGA-PBEsol was carried out for Te2SBr after structural relaxation.

Cell: 10.022 10.022 10.022 Å, 19.90 19.90 19.90°
Atoms (fractional coordinates):
Te (0.082, 0.082, 0.082)
Te (0.918, 0.918, 0.918)
S (0.000, 0.000, 0.000)
Br (0.500, 0.500, 0.500)

Output
* space group: No. 166
* D(E_F): 0.526 states/eV per atom

---

A plane-wave DFT calculation with GGA-PBEsol was carried out for TiSBr2 after structural relaxation.

Cell: 7.029 7.029 7.029 Å, 95.99 95.99 142.31°
Atoms (fractional coordinates):
Ti (0.000, 0.000, 0.000)
Ti (0.750, 0.250, 0.500)
S (0.250, 0.750, 0.500)
S (0.500, 0.500, 0.000)
Br (0.375, 0.229, 0.354)
Br (0.771, 0.125, 0.146)
Br (0.875, 0.021, 0.646)
Br (0.979, 0.625, 0.854)

Output
* space group: No. 122
* D(E_F): 0.210 states/eV per atom

---

A plane-wave DFT calculation with GGA-PBEsol was carried out for Tl6SBr4 after structural relaxation.

Cell: 8.528 8.528 9.210 Å, 90.00 90.00 90.00°
Atoms (fractional coordinates):
Tl (0.000, 0.000, 0.193)
Tl (0.000, 0.000, 0.807)
Tl (0.111, 0.323, 0.500)
Tl (0.177, 0.389, 0.000)
Tl (0.323, 0.889, 0.500)
Tl (0.389, 0.823, 0.000)
Tl (0.500, 0.500, 0.307)
Tl (0.500, 0.500, 0.693)
Tl (0.611, 0.177, 0.000)
Tl (0.677, 0.111, 0.500)
Tl (0.823, 0.611, 0.000)
Tl (0.889, 0.677, 0.500)
S (0.000, 0.000, 0.500)
S (0.500, 0.500, 0.000)
Br (0.165, 0.665, 0.250)
Br (0.165, 0.665, 0.750)
Br (0.335, 0.165, 0.250)
Br (0.335, 0.165, 0.750)
Br (0.665, 0.835, 0.250)
Br (0.665, 0.835, 0.750)
Br (0.835, 0.335, 0.250)
Br (0.835, 0.335, 0.750)

Output
* space group: No. 128

---

A plane-wave DFT calculation with GGA-PBEsol was carried out for WSBr3 after structural relaxation.

Cell: 4.954 4.954 4.954 Å, 90.00 90.00 90.00°
Atoms (fractional coordinates):
W (0.000, 0.000, 0.000)
S (0.500, 0.500, 0.500)
Br (0.000, 0.000, 0.500)
Br (0.000, 0.500, 0.000)
Br (0.500, 0.000, 0.000)

Output
* space group: No. 221
* D(E_F): 0.917 states/eV per atom

---

A plane-wave DFT calculation with GGA-PBEsol was carried out for YSBr2 after structural relaxation.

Cell: 10.014 10.014 10.014 Å, 21.98 21.98 21.98°
Atoms (fractional coordinates):
Y (0.000, 0.000, 0.000)
S (0.500, 0.500, 0.500)
Br (0.089, 0.089, 0.089)
Br (0.911, 0.911, 0.911)

Output
* space group: No. 166
* ΔE to the lowest computed polymorph: 1278 meV/atom
* D(E_F): 0.739 states/eV per atom

---

A plane-wave DFT calculation with GGA-PBEsol was carried out for YSBr2 after structural relaxation.

Cell: 7.509 7.509 7.509 Å, 97.05 97.05 138.97°
Atoms (fractional coordinates):
Y (0.000, 0.000, 0.000)
Y (0.750, 0.250, 0.500)
S (0.250, 0.750, 0.500)
S (0.500, 0.500, 0.000)
Br (0.375, 0.236, 0.361)
Br (0.764, 0.125, 0.139)
Br (0.875, 0.014, 0.639)
Br (0.986, 0.625, 0.861)

Output
* space group: No. 122
* ΔE to the lowest computed polymorph: 0 meV/atom
* D(E_F): 0.582 states/eV per atom

---

A plane-wave DFT calculation with GGA-PBEsol was carried out for ZnS2Br2 after structural relaxation.

Cell: 5.579 5.579 5.579 Å, 120.72 120.72 88.75°
Atoms (fractional coordinates):
Zn (0.000, 0.000, 0.000)
S (0.384, 0.384, 0.000)
S (0.616, 0.616, 0.000)
Br (0.250, 0.750, 0.500)
Br (0.750, 0.250, 0.500)

Output
* space group: No. 139
* D(E_F): 0.551 states/eV per atom

---

A plane-wave DFT calculation with GGA-PBEsol was carried out for Zr2SBr after structural relaxation.

Cell: 4.621 4.621 4.621 Å, 60.00 60.00 60.00°
Atoms (fractional coordinates):
Zr (0.250, 0.250, 0.250)
Zr (0.750, 0.750, 0.750)
S (0.000, 0.000, 0.000)
Br (0.500, 0.500, 0.500)

Output
* space group: No. 225
* D(E_F): 0.942 states/eV per atom

---

A plane-wave DFT calculation with GGA-PBEsol was carried out for SbBr3 after structural relaxation.

Cell: 8.413 9.162 6.758 Å, 90.00 90.00 90.00°
Atoms (fractional coordinates):
Sb (0.026, 0.250, 0.004)
Sb (0.474, 0.750, 0.504)
Sb (0.526, 0.250, 0.496)
Sb (0.974, 0.750, 0.996)
Br (0.073, 0.750, 0.351)
Br (0.176, 0.558, 0.865)
Br (0.176, 0.942, 0.865)
Br (0.324, 0.058, 0.365)
Br (0.324, 0.442, 0.365)
Br (0.427, 0.250, 0.851)
Br (0.573, 0.750, 0.149)
Br (0.676, 0.558, 0.635)
Br (0.676, 0.942, 0.635)
Br (0.824, 0.058, 0.135)
Br (0.824, 0.442, 0.135)
Br (0.927, 0.250, 0.649)

Output
* space group: No. 62
* D(E_F): 0.000 states/eV per atom

---

A plane-wave DFT calculation with GGA-PBEsol was carried out for SbBr3 after structural relaxation.

Cell: 7.715 7.715 7.715 Å, 32.33 32.33 32.33°
Atoms (fractional coordinates):
Sb (0.000, 0.000, 0.000)
Br (0.264, 0.264, 0.264)
Br (0.500, 0.500, 0.500)
Br (0.736, 0.736, 0.736)

Output
* space group: No. 166
* D(E_F): 0.501 states/eV per atom

---

A plane-wave DFT calculation with GGA-PBEsol was carried out for SbBr after structural relaxation.

Cell: 6.067 3.261 6.300 Å, 90.00 90.00 90.00°
Atoms (fractional coordinates):
Sb (0.250, 0.000, 0.029)
Sb (0.750, 0.000, 0.971)
Br (0.250, 0.500, 0.665)
Br (0.750, 0.500, 0.335)

Output
* space group: No. 51
* ΔE to the lowest computed polymorph: 243 meV/atom
* D(E_F): 0.293 states/eV per atom

---

A plane-wave DFT calculation with GGA-PBEsol was carried out for SbBr3 after structural relaxation.

Cell: 6.569 6.569 6.569 Å, 146.87 72.38 117.73°
Atoms (fractional coordinates):
Sb (0.000, 0.000, 0.000)
Br (0.016, 0.343, 0.673)
Br (0.311, 0.811, 0.500)
Br (0.670, 0.343, 0.327)

Output
* space group: No. 44
* D(E_F): 0.000 states/eV per atom

---

A plane-wave DFT calculation with GGA-PBEsol was carried out for Sb3Br after structural relaxation.

Cell: 5.186 5.186 7.398 Å, 114.55 114.55 45.37°
Atoms (fractional coordinates):
Sb (0.000, 0.000, 0.000)
Sb (0.228, 0.228, 0.821)
Sb (0.772, 0.772, 0.179)
Br (0.500, 0.500, 0.500)

Output
* space group: No. 12
* ΔE to the lowest computed polymorph: 29 meV/atom
* D(E_F): 0.477 states/eV per atom

---

A plane-wave DFT calculation with GGA-PBEsol was carried out for Sb3Br after structural relaxation.

Cell: 5.948 5.948 5.948 Å, 90.00 90.00 90.00°
Atoms (fractional coordinates):
Sb (0.000, 0.250, 0.500)
Sb (0.000, 0.750, 0.500)
Sb (0.250, 0.500, 0.000)
Sb (0.500, 0.000, 0.250)
Sb (0.500, 0.000, 0.750)
Sb (0.750, 0.500, 0.000)
Br (0.000, 0.000, 0.000)
Br (0.500, 0.500, 0.500)

Output
* space group: No. 223
* ΔE to the lowest computed polymorph: 358 meV/atom
* D(E_F): 0.727 states/eV per atom

---

Number 1: formation energy (no corrections) -1.52 eV/atom, size of the total moment 0.0 Bohr magnetons per cell. Number 2: formation energy (no corrections) 0.99 eV/atom, size of the total moment 2.0 Bohr magnetons per cell. Number 3: formation energy (no corrections) 0.39 eV/atom, size of the total moment 0.0 Bohr magnetons per cell. Number 4: formation energy (no corrections) -0.94 eV/atom, size of the total moment 0.0 Bohr magnetons per cell. Number 5: formation energy (no corrections) -2.02 eV/atom, size of the total moment 0.0 Bohr magnetons per cell. Number 6: formation energy (no corrections) 0.76 eV/atom, size of the total moment 1.2 Bohr magnetons per cell. Number 7: formation energy (no corrections) 0.22 eV/atom, size of the total moment 0.0 Bohr magnetons per cell. Number 8: formation energy (no corrections) -0.83 eV/atom, size of the total moment 0.0 Bohr magnetons per cell. Number 9: formation energy (no corrections) -0.66 eV/atom, size of the total moment 0.0 Bohr magnetons per cell. Number 10: formation energy (no corrections) 0.62 eV/atom, size of the total moment 0.6 Bohr magnetons per cell. Number 11: formation energy (no corrections) 0.06 eV/atom, size of the total moment 2.3 Bohr magnetons per cell. Number 12: formation energy (no corrections) -1.22 eV/atom, size of the total moment 2.0 Bohr magnetons per cell. Number 13: formation energy (no corrections) 0.27 eV/atom, size of the total moment 0.0 Bohr magnetons per cell. Number 14: formation energy (no corrections) -0.84 eV/atom, size of the total moment 0.0 Bohr magnetons per cell. Number 15: formation energy (no corrections) -0.55 eV/atom, size of the total moment 0.0 Bohr magnetons per cell. Number 16: formation energy (no corrections) -0.16 eV/atom, size of the total moment 0.0 Bohr magnetons per cell. Number 17: formation energy (no corrections) -0.03 eV/atom, size of the total moment 0.0 Bohr magnetons per cell. Number 18: formation energy (no corrections) -0.50 eV/atom, size of the total moment 0.0 Bohr magnetons per cell. Number 19: formation energy (no corrections) 0.03 eV/atom, size of the total moment 0.0 Bohr magnetons per cell. Number 20: formation energy (no corrections) 0.36 eV/atom, size of the total moment 0.0 Bohr magnetons per cell.